1.
First-principles (PBE-GGA) data for a geometry-optimized CaCd2Fe structure, as listed in the Alexandria database.

Cell lengths 5.2310, 5.2310, 5.2310 Å; angles 128.23, 128.23, 76.26 degrees
Positions (direct):
Ca1 0.7500 0.2500 0.5000
Fe1 0.5000 0.5000 0.0000
Cd1 0.0000 0.0000 0.0000
Cd2 0.2500 0.7500 0.5000

Values from the calculation:
calculated total energy	-11.4	eV/f.u.
crystal system	tetragonal
calculated formation energy	231	meV/atom
total moment	2.63	μB/f.u.
symmetry	I-4m2, No. 119

---

2.
First-principles (PBE-GGA) data for a geometry-optimized Dy6ErCo3 structure, as listed in the Alexandria database.

Cell lengths 7.1806, 8.3729, 8.3729 Å; angles 93.79, 90.00, 90.00 degrees
Positions (direct):
Dy1 0.0554 0.7153 0.7151
Dy2 0.5554 0.7151 0.7153
Dy3 0.2958 0.5027 0.0015
Dy4 0.7958 0.0015 0.5027
Dy5 0.3069 0.9754 0.0246
Dy6 0.5534 0.3317 0.6683
Dy7 0.0534 0.6683 0.3317
Dy8 0.8069 0.0246 0.9754
Dy9 0.2958 0.9985 0.4973
Dy10 0.7958 0.4973 0.9985
Dy11 0.0554 0.2849 0.2847
Dy12 0.5554 0.2847 0.2849
Er1 0.0549 0.3184 0.6816
Er2 0.5549 0.6816 0.3184
Co1 0.5319 0.0297 0.7525
Co2 0.0319 0.7525 0.0297
Co3 0.3040 0.5017 0.4983
Co4 0.8040 0.4983 0.5017
Co5 0.0319 0.9703 0.2475
Co6 0.5319 0.2475 0.9703

Values from the calculation:
calculated total energy	-54.0	eV/f.u.
crystal system	orthorhombic
calculated formation energy	-53	meV/atom
total moment	0.00	μB/f.u.
symmetry	Cmc2_1, No. 36

---

3.
First-principles (PBE-GGA) data for a geometry-optimized ZrCuB3 structure, as listed in the Alexandria database.

Cell lengths 3.8574, 3.8574, 3.8574 Å; angles 90.00, 90.00, 90.00 degrees
Positions (direct):
B1 0.0000 0.5000 0.0000
B2 0.0000 0.0000 0.5000
B3 0.5000 0.0000 0.0000
Cu1 0.0000 0.0000 0.0000
Zr1 0.5000 0.5000 0.5000

Values from the calculation:
calculated total energy	-28.3	eV/f.u.
crystal system	cubic
calculated formation energy	883	meV/atom
total moment	0.00	μB/f.u.
relative energy among the computed polymorphs	0	meV/atom
symmetry	Pm-3m, No. 221

---

4.
First-principles (PBE-GGA) data for a geometry-optimized La2ZnBIr structure, as listed in the Alexandria database.

Cell lengths 5.4193, 5.4193, 4.0087 Å; angles 90.00, 90.00, 90.00 degrees
Positions (direct):
Zn1 0.5000 0.5000 0.5000
Ir1 0.0000 0.0000 0.5000
B1 0.0000 0.0000 0.0000
La1 0.0000 0.5000 0.0000
La2 0.5000 0.0000 0.0000

Values from the calculation:
calculated total energy	-28.5	eV/f.u.
crystal system	tetragonal
calculated formation energy	-376	meV/atom
total moment	0.00	μB/f.u.
symmetry	P4/mmm, No. 123

---

5.
First-principles (PBE-GGA) data for a geometry-optimized Hf6BeFe5 structure, as listed in the Alexandria database.

Cell lengths 4.4266, 6.2831, 7.6913 Å; angles 114.11, 106.72, 90.00 degrees
Positions (direct):
Be1 0.0000 0.0000 0.0000
Hf1 0.8330 0.5824 0.6659
Hf2 0.8330 0.0835 0.6659
Hf3 0.5000 0.7488 0.0000
Hf4 0.5000 0.2512 0.0000
Hf5 0.1670 0.9165 0.3341
Hf6 0.1670 0.4176 0.3341
Fe1 0.6650 0.1650 0.3300
Fe2 0.3327 0.3327 0.6654
Fe3 0.0000 0.5000 0.0000
Fe4 0.6673 0.6673 0.3346
Fe5 0.3350 0.8350 0.6700

Values from the calculation:
calculated total energy	-109.0	eV/f.u.
crystal system	orthorhombic
calculated formation energy	-273	meV/atom
total moment	0.18	μB/f.u.
symmetry	Immm, No. 71

---

6.
First-principles (PBE-GGA) data for a geometry-optimized LaSi4Rh6 structure, as listed in the Alexandria database.

Cell lengths 3.8360, 7.0629, 7.0629 Å; angles 120.00, 90.00, 90.00 degrees
Positions (direct):
La1 0.0000 0.0000 0.0000
Si1 0.5000 0.7969 0.5939
Si2 0.5000 0.4061 0.2031
Si3 0.5000 0.7969 0.2031
Si4 0.0000 0.3333 0.6667
Rh1 0.0000 0.5326 0.0652
Rh2 0.5000 0.5999 0.8000
Rh3 0.0000 0.5326 0.4674
Rh4 0.0000 0.9348 0.4674
Rh5 0.5000 0.2000 0.8000
Rh6 0.5000 0.2000 0.4001

Values from the calculation:
calculated total energy	-81.6	eV/f.u.
crystal system	hexagonal
total moment	0.00	μB/f.u.
formation energy without anion corrections	-0.99	eV per atom
symmetry	P-6m2, No. 187